DFT (GGA-PBE) results for a geometry-optimized Li3Sb2Pd2 structure.

abc: 4.372 3.042 10.009
angles: 90.00 98.71 90.00
Element x y z (fractional)
Li 0.000 0.000 0.000
Li 0.271 0.000 0.563
Li 0.729 0.000 0.437
Sb 0.359 0.500 0.812
Sb 0.641 0.500 0.188
Pd 0.179 0.000 0.285
Pd 0.821 0.000 0.715

polymorph energy (0 for the lowest one): 0.2696 eV/atom
DOS at the Fermi energy: 2.30 states/eV/f.u.
M_tot: 0.00 μB per formula unit
E_form (uncorrected): -0.36 eV per atom
symmetry: P2/m, No. 10
VASP energy: -3.843 eV/atom
ρ: 6.02 Mg/m³
crystal system: monoclinic

=====

DFT (GGA-PBE) results for a geometry-optimized Li6SbPd5 structure.

abc: 7.219 7.219 3.994
angles: 105.99 105.99 106.37
Element x y z (fractional)
Li 0.064 0.405 0.734
Li 0.222 0.222 0.222
Li 0.405 0.064 0.734
Li 0.595 0.936 0.266
Li 0.778 0.778 0.778
Li 0.936 0.595 0.266
Sb 0.500 0.500 0.000
Pd 0.000 0.000 0.500
Pd 0.176 0.824 0.000
Pd 0.343 0.657 0.500
Pd 0.657 0.343 0.500
Pd 0.824 0.176 0.000

polymorph energy (0 for the lowest one): 0.0000 eV/atom
DOS at the Fermi energy: 2.93 states/eV/f.u.
M_tot: 0.00 μB per formula unit
E_form (uncorrected): -0.48 eV per atom
symmetry: C2/m, No. 12
VASP energy: -3.945 eV/atom
ρ: 6.51 Mg/m³
crystal system: monoclinic

=====

DFT (GGA-PBE) results for a geometry-optimized LiSb5Pd3 structure.

abc: 7.639 7.639 9.043
angles: 109.48 109.48 68.35
Element x y z (fractional)
Li 0.112 0.112 0.306
Li 0.888 0.888 0.694
Sb 0.026 0.616 0.404
Sb 0.214 0.214 0.033
Sb 0.305 0.695 0.000
Sb 0.384 0.974 0.596
Sb 0.455 0.455 0.675
Sb 0.545 0.545 0.325
Sb 0.616 0.026 0.404
Sb 0.695 0.305 0.000
Sb 0.786 0.786 0.967
Sb 0.974 0.384 0.596
Pd 0.000 0.000 0.000
Pd 0.000 0.000 0.500
Pd 0.312 0.312 0.829
Pd 0.340 0.340 0.341
Pd 0.660 0.660 0.659
Pd 0.688 0.688 0.171

DOS at the Fermi energy: 3.53 states/eV/f.u.
M_tot: 0.00 μB per formula unit
E_form (uncorrected): -0.21 eV per atom
symmetry: C2/m, No. 12
VASP energy: -4.442 eV/atom
ρ: 6.92 Mg/m³
crystal system: monoclinic

=====

DFT (GGA-PBE) results for a geometry-optimized Li6SbPd2 structure.

abc: 5.178 5.178 5.178
angles: 94.97 94.97 94.97
Element x y z (fractional)
Li 0.000 0.328 0.672
Li 0.000 0.672 0.328
Li 0.328 0.000 0.672
Li 0.328 0.672 0.000
Li 0.672 0.000 0.328
Li 0.672 0.328 0.000
Sb 0.500 0.500 0.500
Pd 0.164 0.164 0.164
Pd 0.836 0.836 0.836

DOS at the Fermi energy: 2.68 states/eV/f.u.
M_tot: 0.00 μB per formula unit
E_form (uncorrected): -0.47 eV per atom
symmetry: R-3m, No. 166
VASP energy: -3.359 eV/atom
ρ: 4.55 Mg/m³
crystal system: trigonal

=====

DFT (GGA-PBE) results for a geometry-optimized Li3Sb2Pd3 structure.

abc: 7.824 7.824 7.824
angles: 33.53 33.53 33.53
Element x y z (fractional)
Li 0.000 0.000 0.000
Li 0.126 0.126 0.126
Li 0.624 0.624 0.624
Sb 0.377 0.377 0.377
Sb 0.873 0.873 0.873
Pd 0.253 0.253 0.253
Pd 0.502 0.502 0.502
Pd 0.747 0.747 0.747

DOS at the Fermi energy: 3.31 states/eV/f.u.
M_tot: 0.00 μB per formula unit
E_form (uncorrected): -0.63 eV per atom
symmetry: R3m, No. 160
VASP energy: -4.321 eV/atom
ρ: 7.45 Mg/m³
crystal system: trigonal

=====

DFT (GGA-PBE) results for a geometry-optimized LiSb2Pd structure.

abc: 3.437 3.437 7.018
angles: 90.00 90.00 90.00
Element x y z (fractional)
Li 0.000 0.000 0.000
Sb 0.500 0.500 0.265
Sb 0.500 0.500 0.735
Pd 0.000 0.000 0.500

polymorph energy (0 for the lowest one): 0.0907 eV/atom
DOS at the Fermi energy: 0.94 states/eV/f.u.
M_tot: 0.00 μB per formula unit
E_form (uncorrected): -0.30 eV per atom
symmetry: P4/mmm, No. 123
VASP energy: -4.140 eV/atom
ρ: 7.15 Mg/m³
crystal system: tetragonal

=====

DFT (GGA-PBE) results for a geometry-optimized LiSbPd structure.

abc: 4.876 4.876 4.876
angles: 137.53 137.53 61.62
Element x y z (fractional)
Li 0.000 0.000 0.000
Sb 0.678 0.678 0.000
Pd 0.334 0.334 0.000

DOS at the Fermi energy: 1.22 states/eV/f.u.
M_tot: 0.00 μB per formula unit
E_form (uncorrected): -0.53 eV per atom
symmetry: I4mm, No. 107
VASP energy: -4.273 eV/atom
ρ: 7.48 Mg/m³
crystal system: tetragonal

=====

DFT (GGA-PBE) results for a geometry-optimized Li2Sb3Pd4 structure.

abc: 4.532 4.560 9.469
angles: 103.32 90.65 118.73
Element x y z (fractional)
Li 0.103 0.184 0.292
Li 0.897 0.816 0.708
Sb 0.285 0.610 0.887
Sb 0.500 0.000 0.500
Sb 0.715 0.390 0.113
Pd 0.195 0.394 0.591
Pd 0.407 0.776 0.192
Pd 0.593 0.224 0.808
Pd 0.805 0.606 0.409

polymorph energy (0 for the lowest one): 0.0000 eV/atom
DOS at the Fermi energy: 4.51 states/eV/f.u.
M_tot: 0.00 μB per formula unit
E_form (uncorrected): -0.52 eV per atom
symmetry: P-1, No. 2
VASP energy: -4.631 eV/atom
ρ: 8.09 Mg/m³
crystal system: triclinic

=====

DFT (GGA-PBE) results for a geometry-optimized Li5SbPd4 structure.

abc: 6.720 6.720 5.369
angles: 102.60 102.60 38.91
Element x y z (fractional)
Li 0.000 0.000 0.000
Li 0.206 0.206 0.306
Li 0.395 0.395 0.117
Li 0.605 0.605 0.883
Li 0.794 0.794 0.694
Sb 0.000 0.000 0.500
Pd 0.204 0.204 0.802
Pd 0.401 0.401 0.620
Pd 0.599 0.599 0.380
Pd 0.796 0.796 0.198

DOS at the Fermi energy: 4.00 states/eV/f.u.
M_tot: 0.00 μB per formula unit
E_form (uncorrected): -0.49 eV per atom
symmetry: C2/m, No. 12
VASP energy: -3.940 eV/atom
ρ: 6.53 Mg/m³
crystal system: monoclinic

=====

DFT (GGA-PBE) results for a geometry-optimized Li2Sb2Pd structure.

abc: 11.824 11.822 4.257
angles: 79.66 79.59 20.74
Element x y z (fractional)
Li 0.047 0.047 0.703
Li 0.297 0.297 0.953
Li 0.703 0.703 0.047
Li 0.953 0.953 0.297
Sb 0.195 0.195 0.555
Sb 0.445 0.445 0.805
Sb 0.555 0.555 0.195
Sb 0.805 0.805 0.445
Pd 0.375 0.375 0.375
Pd 0.625 0.625 0.625

polymorph energy (0 for the lowest one): 0.0649 eV/atom
DOS at the Fermi energy: 1.69 states/eV/f.u.
M_tot: 0.00 μB per formula unit
E_form (uncorrected): -0.41 eV per atom
symmetry: Fddd, No. 70
VASP energy: -3.861 eV/atom
ρ: 5.83 Mg/m³
crystal system: orthorhombic

=====

DFT (GGA-PBE) results for a geometry-optimized Li2SbPd3 structure.

abc: 7.312 7.312 5.274
angles: 96.47 96.47 43.19
Element x y z (fractional)
Li 0.066 0.276 0.074
Li 0.276 0.066 0.574
Li 0.724 0.934 0.426
Li 0.934 0.724 0.926
Sb 0.338 0.662 0.750
Sb 0.662 0.338 0.250
Pd 0.146 0.854 0.250
Pd 0.229 0.434 0.424
Pd 0.434 0.229 0.924
Pd 0.566 0.771 0.076
Pd 0.771 0.566 0.576
Pd 0.854 0.146 0.750

polymorph energy (0 for the lowest one): 0.0815 eV/atom
DOS at the Fermi energy: 1.77 states/eV/f.u.
M_tot: 0.00 μB per formula unit
E_form (uncorrected): -0.44 eV per atom
symmetry: C2/c, No. 15
VASP energy: -4.365 eV/atom
ρ: 7.89 Mg/m³
crystal system: monoclinic

=====

DFT (GGA-PBE) results for a geometry-optimized LiSbPd6 structure.

abc: 5.077 5.105 5.132
angles: 94.12 93.43 93.71
Element x y z (fractional)
Li 0.000 0.000 0.000
Sb 0.500 0.500 0.500
Pd 0.055 0.750 0.436
Pd 0.250 0.565 0.942
Pd 0.439 0.054 0.751
Pd 0.561 0.946 0.249
Pd 0.750 0.435 0.058
Pd 0.945 0.250 0.564

polymorph energy (0 for the lowest one): 0.1235 eV/atom
DOS at the Fermi energy: 4.22 states/eV/f.u.
M_tot: 0.00 μB per formula unit
E_form (uncorrected): -0.24 eV per atom
symmetry: P-1, No. 2
VASP energy: -4.888 eV/atom
ρ: 9.64 Mg/m³
crystal system: triclinic

=====

DFT (GGA-PBE) results for a geometry-optimized Li2SbPd structure.

abc: 4.512 4.512 4.512
angles: 60.00 60.00 60.00
Element x y z (fractional)
Li 0.000 0.000 0.000
Li 0.250 0.250 0.250
Sb 0.750 0.750 0.750
Pd 0.500 0.500 0.500

DOS at the Fermi energy: 1.02 states/eV/f.u.
M_tot: 0.00 μB per formula unit
E_form (uncorrected): -0.66 eV per atom
symmetry: F-43m, No. 216
VASP energy: -3.943 eV/atom
ρ: 6.19 Mg/m³
crystal system: cubic

=====

DFT (GGA-PBE) results for a geometry-optimized LiSb4Pd5 structure.

abc: 8.081 9.172 5.432
angles: 90.00 90.00 90.00
Element x y z (fractional)
Li 0.250 0.250 0.033
Li 0.750 0.750 0.967
Sb 0.068 0.250 0.528
Sb 0.250 0.589 0.874
Sb 0.250 0.911 0.874
Sb 0.432 0.250 0.528
Sb 0.568 0.750 0.472
Sb 0.750 0.089 0.126
Sb 0.750 0.411 0.126
Sb 0.932 0.750 0.472
Pd 0.054 0.003 0.253
Pd 0.054 0.497 0.253
Pd 0.250 0.750 0.335
Pd 0.446 0.003 0.253
Pd 0.446 0.497 0.253
Pd 0.554 0.503 0.747
Pd 0.554 0.997 0.747
Pd 0.750 0.250 0.665
Pd 0.946 0.503 0.747
Pd 0.946 0.997 0.747

DOS at the Fermi energy: 4.53 states/eV/f.u.
M_tot: 0.00 μB per formula unit
E_form (uncorrected): -0.38 eV per atom
symmetry: Pmmn, No. 59
VASP energy: -4.813 eV/atom
ρ: 8.46 Mg/m³
crystal system: orthorhombic

=====

DFT (GGA-PBE) results for a geometry-optimized LiSbPd5 structure.

abc: 6.276 6.276 6.276
angles: 110.85 90.90 128.93
Element x y z (fractional)
Li 0.000 0.000 0.000
Sb 0.751 0.251 0.500
Pd 0.243 0.498 0.745
Pd 0.258 0.758 0.500
Pd 0.513 0.326 0.812
Pd 0.513 0.701 0.188
Pd 0.753 0.498 0.255

polymorph energy (0 for the lowest one): 0.5750 eV/atom
DOS at the Fermi energy: 5.38 states/eV/f.u.
M_tot: 0.00 μB per formula unit
E_form (uncorrected): 0.23 eV per atom
symmetry: Imm2, No. 44
VASP energy: -4.339 eV/atom
ρ: 6.47 Mg/m³
crystal system: orthorhombic

=====

DFT (GGA-PBE) results for a geometry-optimized Li4SbPd structure.

abc: 5.401 4.527 8.250
angles: 90.00 108.98 90.00
Element x y z (fractional)
Li 0.040 0.250 0.086
Li 0.203 0.250 0.416
Li 0.287 0.750 0.584
Li 0.455 0.750 0.915
Li 0.545 0.250 0.085
Li 0.713 0.250 0.416
Li 0.797 0.750 0.584
Li 0.960 0.750 0.914
Sb 0.371 0.750 0.242
Sb 0.629 0.250 0.758
Pd 0.118 0.250 0.736
Pd 0.882 0.750 0.264

polymorph energy (0 for the lowest one): 0.0000 eV/atom
DOS at the Fermi energy: 1.36 states/eV/f.u.
M_tot: 0.00 μB per formula unit
E_form (uncorrected): -0.53 eV per atom
symmetry: P2_1/m, No. 11
VASP energy: -3.354 eV/atom
ρ: 4.46 Mg/m³
crystal system: monoclinic

=====

DFT (GGA-PBE) results for a geometry-optimized Li2Sb3Pd4 structure.

abc: 8.735 8.735 6.975
angles: 90.00 90.00 137.58
Element x y z (fractional)
Li 0.082 0.918 0.895
Li 0.418 0.582 0.395
Li 0.582 0.418 0.605
Li 0.918 0.082 0.105
Sb 0.000 0.000 0.500
Sb 0.007 0.493 0.750
Sb 0.493 0.007 0.250
Sb 0.500 0.500 0.000
Sb 0.507 0.993 0.750
Sb 0.993 0.507 0.250
Pd 0.166 0.834 0.524
Pd 0.174 0.326 0.750
Pd 0.326 0.174 0.250
Pd 0.334 0.666 0.024
Pd 0.666 0.334 0.976
Pd 0.674 0.826 0.750
Pd 0.826 0.674 0.250
Pd 0.834 0.166 0.476

polymorph energy (0 for the lowest one): 0.0529 eV/atom
DOS at the Fermi energy: 3.68 states/eV/f.u.
M_tot: 0.00 μB per formula unit
E_form (uncorrected): -0.47 eV per atom
symmetry: Cmce, No. 64
VASP energy: -4.579 eV/atom
ρ: 7.45 Mg/m³
crystal system: orthorhombic

=====

DFT (GGA-PBE) results for a geometry-optimized Li2SbPd2 structure.

abc: 4.542 4.542 5.187
angles: 90.00 90.00 120.00
Element x y z (fractional)
Li 0.333 0.667 0.372
Li 0.667 0.333 0.628
Sb 0.000 0.000 0.000
Pd 0.333 0.667 0.880
Pd 0.667 0.333 0.120

polymorph energy (0 for the lowest one): 0.1067 eV/atom
DOS at the Fermi energy: 1.02 states/eV/f.u.
M_tot: 0.00 μB per formula unit
E_form (uncorrected): -0.46 eV per atom
symmetry: P-3m1, No. 164
VASP energy: -4.129 eV/atom
ρ: 6.24 Mg/m³
crystal system: trigonal

=====

DFT (GGA-PBE) results for a geometry-optimized Li2SbPd2 structure.

abc: 7.004 7.004 3.372
angles: 90.00 90.00 90.00
Element x y z (fractional)
Li 0.151 0.349 0.000
Li 0.349 0.849 0.000
Li 0.651 0.151 0.000
Li 0.849 0.651 0.000
Sb 0.000 0.000 0.500
Sb 0.500 0.500 0.500
Pd 0.147 0.647 0.500
Pd 0.353 0.147 0.500
Pd 0.647 0.853 0.500
Pd 0.853 0.353 0.500

polymorph energy (0 for the lowest one): 0.1137 eV/atom
DOS at the Fermi energy: 1.76 states/eV/f.u.
M_tot: 0.00 μB per formula unit
E_form (uncorrected): -0.45 eV per atom
symmetry: P4/mbm, No. 127
VASP energy: -4.122 eV/atom
ρ: 7.00 Mg/m³
crystal system: tetragonal

=====

DFT (GGA-PBE) results for a geometry-optimized LiSbPd structure.

abc: 4.345 4.266 6.219
angles: 90.00 105.10 90.00
Element x y z (fractional)
Li 0.137 0.250 0.202
Li 0.863 0.750 0.798
Sb 0.353 0.250 0.781
Sb 0.647 0.750 0.219
Pd 0.250 0.750 0.489
Pd 0.750 0.250 0.511

DOS at the Fermi energy: 1.31 states/eV/f.u.
M_tot: 0.00 μB per formula unit
E_form (uncorrected): -0.55 eV per atom
symmetry: P2_1/m, No. 11
VASP energy: -4.290 eV/atom
ρ: 7.02 Mg/m³
crystal system: monoclinic

=====

DFT (GGA-PBE) results for a geometry-optimized LiSb3Pd5 structure.

abc: 7.974 7.974 5.825
angles: 90.00 90.00 120.00
Element x y z (fractional)
Li 0.000 0.000 0.000
Li 0.000 0.000 0.500
Sb 0.000 0.335 0.250
Sb 0.000 0.665 0.750
Sb 0.335 0.000 0.250
Sb 0.335 0.335 0.750
Sb 0.665 0.000 0.750
Sb 0.665 0.665 0.250
Pd 0.000 0.334 0.750
Pd 0.000 0.666 0.250
Pd 0.333 0.667 0.000
Pd 0.333 0.667 0.500
Pd 0.334 0.000 0.750
Pd 0.334 0.334 0.250
Pd 0.666 0.000 0.250
Pd 0.666 0.666 0.750
Pd 0.667 0.333 0.000
Pd 0.667 0.333 0.500

polymorph energy (0 for the lowest one): 0.0000 eV/atom
DOS at the Fermi energy: 4.08 states/eV/f.u.
M_tot: 0.00 μB per formula unit
E_form (uncorrected): -0.43 eV per atom
symmetry: P6_3/mcm, No. 193
VASP energy: -4.903 eV/atom
ρ: 9.36 Mg/m³
crystal system: hexagonal

=====

DFT (GGA-PBE) results for a geometry-optimized LiSbPd3 structure.

abc: 4.544 4.549 8.034
angles: 89.06 73.59 86.53
Element x y z (fractional)
Li 0.144 0.250 0.209
Li 0.856 0.750 0.791
Sb 0.352 0.251 0.792
Sb 0.648 0.749 0.208
Pd 0.059 0.750 0.386
Pd 0.252 0.750 0.999
Pd 0.446 0.750 0.613
Pd 0.554 0.250 0.387
Pd 0.748 0.250 0.001
Pd 0.941 0.250 0.614

polymorph energy (0 for the lowest one): 0.0000 eV/atom
DOS at the Fermi energy: 1.69 states/eV/f.u.
M_tot: 0.00 μB per formula unit
E_form (uncorrected): -0.54 eV per atom
symmetry: P-1, No. 2
VASP energy: -4.861 eV/atom
ρ: 9.36 Mg/m³
crystal system: triclinic